{"formula": "CaCo2F2", "functional": "PBE with a Hubbard U", "state": "optimized geometry", "volume_a3_per_cell": 165.3, "energy_ev_per_fu": -21.8, "cell": [[-0.347, 3.656, 4.435], [-5.688, -0.861, 0.265], [0.719, -3.777, 3.170]], "species": ["F", "F", "F", "F", "Co", "Co", "Co", "Co", "Ca", "Ca"], "frac_coords": [[0.337, 0.163, 0.000], [0.837, 0.337, 0.000], [0.663, 0.837, 0.000], [0.163, 0.663, 0.000], [0.849, 0.349, 0.500], [0.651, 0.849, 0.500], [0.151, 0.651, 0.500], [0.349, 0.151, 0.500], [0.500, 0.500, 0.000], [0.000, 0.000, 0.000]]}